No. 1
Density functional theory data (PBE) for a relaxed Ac2LaCeHg4 crystal.

a = 9.7281 Å, b = 9.7281 Å, c = 9.7281 Å
α = 33.50°, β = 33.50°, γ = 33.50°
With the nearest neighbours (Å) after each atom.
Element x y z (fractional)
Ac: 0.2491 0.2491 0.2491  8 Hg 3.40-3.48
Ac: 0.7509 0.7509 0.7509  8 Hg 3.40-3.48
La: 0.0000 0.0000 0.0000  8 Hg 3.44-3.45
Ce: 0.5000 0.5000 0.5000  8 Hg 3.42-3.43
Hg: 0.1255 0.1255 0.1255  4 Ac 3.40-3.43, 3 Ce 3.43, 1 La 3.45
Hg: 0.3756 0.3756 0.3756  1 Ce 3.42, 4 Ac 3.44-3.48, 3 La 3.44
Hg: 0.6244 0.6244 0.6244  1 Ce 3.42, 4 Ac 3.44-3.48, 3 La 3.44
Hg: 0.8745 0.8745 0.8745  4 Ac 3.40-3.43, 3 Ce 3.43, 1 La 3.45

Properties
formation energy	-0.420	eV per atom

No. 2
Density functional theory data (PBE) for a relaxed Tl2CuBiSe4 crystal.

a = 8.0964 Å, b = 8.0964 Å, c = 6.7116 Å
α = 90.00°, β = 90.00°, γ = 90.00°
With the nearest neighbours (Å) after each atom.
Element x y z (fractional)
Tl: 0.0000 0.5000 0.0000  8 Se 3.33-3.53, 2 Tl 3.36
Tl: 0.0000 0.5000 0.5000  8 Se 3.33-3.53, 2 Tl 3.36
Tl: 0.5000 0.0000 0.0000  8 Se 3.33-3.53, 2 Tl 3.36
Tl: 0.5000 0.0000 0.5000  8 Se 3.33-3.53, 2 Tl 3.36
Cu: 0.0000 0.0000 0.0000  4 Se 2.49
Cu: 0.5000 0.5000 0.5000  4 Se 2.49
Bi: 0.0000 0.0000 0.5000  4 Se 2.75
Bi: 0.5000 0.5000 0.0000  4 Se 2.75
Se: 0.1749 0.1749 0.7801  1 Cu 2.49, 1 Bi 2.75
Se: 0.1749 0.8251 0.2199  1 Cu 2.49, 1 Bi 2.75
Se: 0.3251 0.3251 0.2801  1 Cu 2.49, 1 Bi 2.75
Se: 0.3251 0.6749 0.7199  1 Cu 2.49, 1 Bi 2.75
Se: 0.6749 0.3251 0.7199  1 Cu 2.49, 1 Bi 2.75
Se: 0.6749 0.6749 0.2801  1 Cu 2.49, 1 Bi 2.75
Se: 0.8251 0.1749 0.2199  1 Cu 2.49, 1 Bi 2.75
Se: 0.8251 0.8251 0.7801  1 Cu 2.49, 1 Bi 2.75

Properties
ΔE_f (raw)	-0.16	eV per atom

No. 3
Density functional theory data (PBE) for a relaxed Tb2DyHo crystal.

a = 7.9876 Å, b = 7.9876 Å, c = 7.9876 Å
α = 90.00°, β = 90.00°, γ = 90.00°
With the nearest neighbours (Å) after each atom.
Element x y z (fractional)
Tb: 0.2500 0.2500 0.2500  4 Dy 3.46, 4 Ho 3.46
Tb: 0.2500 0.2500 0.7500  4 Dy 3.46, 4 Ho 3.46
Tb: 0.2500 0.7500 0.2500  4 Dy 3.46, 4 Ho 3.46
Tb: 0.2500 0.7500 0.7500  4 Dy 3.46, 4 Ho 3.46
Tb: 0.7500 0.2500 0.2500  4 Dy 3.46, 4 Ho 3.46
Tb: 0.7500 0.2500 0.7500  4 Dy 3.46, 4 Ho 3.46
Tb: 0.7500 0.7500 0.2500  4 Dy 3.46, 4 Ho 3.46
Tb: 0.7500 0.7500 0.7500  4 Dy 3.46, 4 Ho 3.46
Dy: 0.0000 0.0000 0.0000  8 Tb 3.46
Dy: 0.0000 0.5000 0.5000  8 Tb 3.46
Dy: 0.5000 0.0000 0.5000  8 Tb 3.46
Dy: 0.5000 0.5000 0.0000  8 Tb 3.46
Ho: 0.0000 0.0000 0.5000  8 Tb 3.46
Ho: 0.0000 0.5000 0.0000  8 Tb 3.46
Ho: 0.5000 0.0000 0.0000  8 Tb 3.46
Ho: 0.5000 0.5000 0.5000  8 Tb 3.46

Properties
formation energy	0.145	eV per atom

No. 4
Density functional theory data (PBE) for a relaxed BeSb2Au crystal.

a = 3.3032 Å, b = 3.3032 Å, c = 7.5278 Å
α = 90.00°, β = 90.00°, γ = 90.00°
With the nearest neighbours (Å) after each atom.
Element x y z (fractional)
Be: 0.0000 0.0000 0.0000  8 Sb 2.84
Sb: 0.5000 0.5000 0.2137  4 Be 2.84
Sb: 0.5000 0.5000 0.7863  4 Be 2.84
Au: 0.0000 0.0000 0.5000  8 Sb 3.18, 4 Au 3.30

Properties
ΔE_f (raw)	0.42	eV per atom

No. 5
Density functional theory data (PBE) for a relaxed Dy7Ho3In crystal.

a = 6.9385 Å, b = 6.9385 Å, c = 8.4687 Å
α = 90.00°, β = 90.00°, γ = 120.00°
With the nearest neighbours (Å) after each atom.
Element x y z (fractional)
Dy: 0.0000 0.0000 0.0000  3 Ho 3.42, 9 Dy 3.46-3.47
Dy: 0.1638 0.3275 0.3360  7 Dy 3.41-3.53, 2 Ho 3.46, 2 In 3.47
Dy: 0.1638 0.8362 0.3360  7 Dy 3.41-3.53, 2 Ho 3.46, 2 In 3.47
Dy: 0.5015 0.0030 0.0109  1 In 3.42, 8 Dy 3.42-3.50, 2 Ho 3.50
Dy: 0.5015 0.4985 0.0109  1 In 3.42, 8 Dy 3.42-3.50, 2 Ho 3.50
Dy: 0.6725 0.8362 0.3360  7 Dy 3.41-3.53, 2 Ho 3.46, 2 In 3.47
Dy: 0.9970 0.4985 0.0109  1 In 3.42, 8 Dy 3.42-3.50, 2 Ho 3.50
Ho: 0.3321 0.1660 0.6716  5 Dy 3.42-3.50, 1 In 3.46, 4 Ho 3.46-3.48
Ho: 0.8340 0.1660 0.6716  5 Dy 3.42-3.50, 1 In 3.46, 4 Ho 3.46-3.48
Ho: 0.8340 0.6679 0.6716  5 Dy 3.42-3.50, 1 In 3.46, 4 Ho 3.46-3.48
In: 0.6667 0.3333 0.3397  9 Dy 3.42-3.47, 3 Ho 3.46

Properties
formation energy	0.118	eV per atom

No. 6
Density functional theory data (PBE) for a relaxed TmTaRu2 crystal.

a = 3.2248 Å, b = 3.2248 Å, c = 6.6856 Å
α = 90.00°, β = 90.00°, γ = 90.00°
With the nearest neighbours (Å) after each atom.
Element x y z (fractional)
Tm: 0.0000 0.0000 0.0000  8 Ru 2.93, 4 Tm 3.22
Ta: 0.0000 0.0000 0.5000  8 Ru 2.74
Ru: 0.5000 0.5000 0.2740  4 Ta 2.74, 4 Tm 2.93, 1 Ru 3.02
Ru: 0.5000 0.5000 0.7260  4 Ta 2.74, 4 Tm 2.93, 1 Ru 3.02

Properties
formation energy	-0.507	eV per atom

No. 7
Density functional theory data (PBE) for a relaxed Tc2AgSb crystal.

a = 3.0991 Å, b = 4.6567 Å, c = 4.7433 Å
α = 90.00°, β = 90.00°, γ = 90.00°
With the nearest neighbours (Å) after each atom.
Element x y z (fractional)
Tc: 0.0000 0.0000 0.0000  4 Sb 2.80, 6 Tc 2.83-3.10
Tc: 0.5000 0.0000 0.5000  4 Ag 2.80, 6 Tc 2.83-3.10
Ag: 0.0000 0.5000 0.5000  4 Tc 2.80, 4 Sb 2.83, 2 Ag 3.10
Sb: 0.5000 0.5000 0.0000  4 Tc 2.80, 4 Ag 2.83, 2 Sb 3.10

Properties
ΔE_f (raw)	0.63	eV per atom

No. 8
Density functional theory data (PBE) for a relaxed Ba2LaGaCo crystal.

a = 5.9746 Å, b = 5.9746 Å, c = 4.9177 Å
α = 90.00°, β = 90.00°, γ = 90.00°
With the nearest neighbours (Å) after each atom.
Element x y z (fractional)
Ba: 0.0000 0.5000 0.0000  2 Co 2.99
Ba: 0.5000 0.0000 0.0000  2 Co 2.99
La: 0.0000 0.0000 0.5000  8 Ba 3.87, 4 Ga 4.22
Ga: 0.5000 0.5000 0.5000  2 Co 2.46
Co: 0.5000 0.5000 0.0000  2 Ga 2.46

Properties
formation energy	0.275	eV per atom

No. 9
Density functional theory data (PBE) for a relaxed LiEr2Al crystal.

a = 3.4086 Å, b = 3.4086 Å, c = 32.8732 Å
α = 90.00°, β = 90.00°, γ = 120.00°
With the nearest neighbours (Å) after each atom.
Element x y z (fractional)
Li: 0.0000 0.0000 0.0000  2 Er 3.21, 6 Li 3.41
Li: 0.3333 0.6667 0.6667  2 Er 3.21, 6 Li 3.41
Li: 0.6667 0.3333 0.3333  2 Er 3.21, 6 Li 3.41
Er: 0.0000 0.0000 0.0977  3 Al 3.00, 1 Li 3.21
Er: 0.0000 0.0000 0.9023  3 Al 3.00, 1 Li 3.21
Er: 0.3333 0.6667 0.5690  3 Al 3.00, 1 Li 3.21
Er: 0.3333 0.6667 0.7643  3 Al 3.00, 1 Li 3.21
Er: 0.6667 0.3333 0.2357  3 Al 3.00, 1 Li 3.21
Er: 0.6667 0.3333 0.4310  3 Al 3.00, 1 Li 3.21
Al: 0.0000 0.0000 0.5000  6 Er 3.00
Al: 0.3333 0.6667 0.1667  6 Er 3.00
Al: 0.6667 0.3333 0.8333  6 Er 3.00

Properties
formation energy	0.085	eV per atom

No. 10
Density functional theory data (PBE) for a relaxed CsInCuBr6 crystal.

a = 6.7815 Å, b = 6.9241 Å, c = 8.0318 Å
α = 92.20°, β = 96.70°, γ = 112.24°
With the nearest neighbours (Å) after each atom.
Element x y z (fractional)
Cs: 0.0000 0.0000 0.0000  7 Br 3.66-3.98
In: 0.6040 0.3508 0.4899  6 Br 2.60-2.81
Cu: 0.2343 0.6699 0.5347  5 Br 2.46-2.75
Br: 0.2925 0.4502 0.3090  1 Cu 2.48, 1 In 2.74
Br: 0.3410 0.0340 0.6653  1 Cu 2.49
Br: 0.5283 0.6238 0.7174  1 Cu 2.46
Br: 0.5750 0.0805 0.2447  1 In 2.60
Br: 0.9162 0.6855 0.3623  1 Cu 2.46
Br: 0.9451 0.3936 0.7126  1 In 2.67, 1 Cu 2.75

Properties
ΔE_f (raw)	-0.85	eV per atom

No. 11
Density functional theory data (PBE) for a relaxed RbSrNb crystal.

a = 7.8125 Å, b = 4.6551 Å, c = 16.5374 Å
α = 90.00°, β = 91.83°, γ = 90.00°
With the nearest neighbours (Å) after each atom.
Element x y z (fractional)
Rb: 0.0000 0.0000 0.0000  9 Rb 4.55-5.08, 3 Sr 4.75-4.79
Rb: 0.1561 0.5000 0.2555  9 Rb 4.55-5.08, 3 Sr 4.72-4.86
Rb: 0.5000 0.5000 0.0000  9 Rb 4.55-5.08, 3 Sr 4.75-4.79
Rb: 0.6561 0.0000 0.2555  9 Rb 4.55-5.08, 3 Sr 4.72-4.86
Sr: 0.3120 0.0000 0.4950  6 Nb 3.44
Sr: 0.3295 0.0000 0.7607  6 Nb 3.44
Sr: 0.8120 0.5000 0.4950  6 Nb 3.44
Sr: 0.8295 0.5000 0.7607  6 Nb 3.44
Nb: 0.1598 0.5000 0.6278  3 Nb 2.51-2.71
Nb: 0.4816 0.5000 0.6278  3 Nb 2.51-2.71
Nb: 0.6598 0.0000 0.6278  3 Nb 2.51-2.71
Nb: 0.9816 0.0000 0.6278  3 Nb 2.51-2.71

Properties
formation energy	0.454	eV per atom

No. 12
Density functional theory data (PBE) for a relaxed Hf2U3NbN6 crystal.

a = 5.6541 Å, b = 5.6541 Å, c = 5.8639 Å
α = 99.25°, β = 99.25°, γ = 119.97°
With the nearest neighbours (Å) after each atom.
Element x y z (fractional)
Hf: 0.1670 0.8330 0.0000  6 N 2.25-2.26
Hf: 0.8330 0.1670 0.0000  6 N 2.25-2.26
U: 0.0000 0.0000 0.5000  6 N 2.41-2.43
U: 0.3349 0.6651 0.5000  6 N 2.41-2.43
U: 0.6651 0.3349 0.5000  6 N 2.41-2.43
Nb: 0.5000 0.5000 0.0000  6 N 2.28
N: 0.0870 0.4243 0.7736  2 Hf 2.25-2.26, 1 Nb 2.28, 3 U 2.41-2.43
N: 0.2372 0.2372 0.2249  2 Hf 2.25, 1 Nb 2.28, 3 U 2.41-2.43
N: 0.4243 0.0870 0.7736  2 Hf 2.25-2.26, 1 Nb 2.28, 3 U 2.41-2.43
N: 0.5757 0.9130 0.2264  2 Hf 2.25-2.26, 1 Nb 2.28, 3 U 2.41-2.43
N: 0.7628 0.7628 0.7751  2 Hf 2.25, 1 Nb 2.28, 3 U 2.41-2.43
N: 0.9130 0.5757 0.2264  2 Hf 2.25-2.26, 1 Nb 2.28, 3 U 2.41-2.43

Properties
ΔE_f (raw)	-1.46	eV per atom

No. 13
Density functional theory data (PBE) for a relaxed BaNiP2 crystal.

a = 3.9063 Å, b = 6.4585 Å, c = 7.3384 Å
α = 90.00°, β = 90.00°, γ = 90.00°
With the nearest neighbours (Å) after each atom.
Element x y z (fractional)
Ba: 0.0000 0.0000 0.0000  8 P 3.23-3.41
Ba: 0.5000 0.5000 0.5000  8 P 3.23-3.41
Ni: 0.0000 0.0000 0.5000  4 P 2.24
Ni: 0.5000 0.5000 0.0000  4 P 2.24
P: 0.0000 0.5000 0.1500  1 P 2.20, 2 Ni 2.24
P: 0.0000 0.5000 0.8500  1 P 2.20, 2 Ni 2.24
P: 0.5000 0.0000 0.3500  1 P 2.20, 2 Ni 2.24
P: 0.5000 0.0000 0.6500  1 P 2.20, 2 Ni 2.24

Properties
formation energy	-0.607	eV per atom